A geometry-optimized Sr3SbF structure, computed with GGA-PBE.

The structure in extended XYZ format:
```
10
Lattice="4.534 0.007 0.010 -2.248 9.558 1.660 0.024 -1.752 7.718" Properties=species:S:1:pos:R:3 pbc="T T T"
Sr 2.299 5.049 3.564
Sr 0.011 2.764 5.824
Sr 2.294 8.965 3.808
Sr 0.060 5.348 8.736
Sr 0.016 -1.152 5.580
Sr 2.250 2.465 0.652
Sb 0.029 6.468 5.454
Sb 2.281 1.345 3.935
F 0.010 0.711 7.256
F 2.301 7.102 2.132
```

Results
Calculated density = 3.854 g cm⁻³
E = -3.76 eV per atom
V = 348 Å³/cell
Formation energy (no corrections) = -1.55 eV/atom
Crystal system = triclinic
Spin magnetization = 0.0 μB per cell

***

A geometry-optimized Cu5Ge3Te12 structure, computed with GGA-PBE.

The structure in extended XYZ format:
```
80
Lattice="-10.365 -9.678 0.706 12.600 -6.544 0.101 -0.895 8.717 11.172" Properties=species:S:1:pos:R:3 pbc="T T T"
Te 1.479 1.688 9.463
Te 3.616 -8.134 1.386
Te -4.100 -1.383 3.925
Te 2.703 -11.445 3.903
Te 2.278 -4.443 8.026
Te -2.501 -4.364 10.858
Te -2.731 -11.657 2.694
Te 3.841 -3.141 1.120
Te -6.210 -4.443 2.802
Te 0.470 -9.546 6.715
Te -9.143 -1.755 10.431
Te -5.522 -9.266 3.947
Te 7.170 -0.122 11.061
Te -4.862 -2.802 7.048
Te 1.121 -0.141 2.436
Te -3.244 0.311 6.881
Te 2.899 -13.635 1.077
Te -0.060 -1.326 6.878
Te -1.677 -4.437 7.100
Te -2.668 -7.401 4.796
Te -8.913 -3.978 7.633
Te 7.550 -3.062 9.177
Te 6.240 -5.707 1.181
Te 4.071 4.152 9.284
Te -0.938 -3.062 3.953
Te -5.846 -6.318 5.830
Te 10.483 -5.750 1.548
Te 0.870 2.041 5.264
Te 4.008 -0.104 7.182
Te -2.276 0.629 10.592
Te 10.253 -3.527 4.345
Te 1.216 -5.572 1.270
Te -4.901 -1.798 10.798
Te 7.186 -1.187 6.148
Te -3.009 -5.481 1.793
Te -1.363 3.940 8.075
Te 6.861 1.761 8.031
Te 4.349 -2.023 10.186
Te 0.124 -1.933 10.708
Te -0.139 -9.193 2.515
Te -5.830 -7.383 0.917
Te 0.219 -7.364 9.543
Te 6.202 -4.703 4.931
Te 5.440 -6.122 8.053
Te 3.017 -3.068 4.879
Te 4.584 -7.816 5.097
Te -1.559 6.130 10.902
Te 1.400 -6.179 5.100
Cu -1.866 -6.020 9.060
Cu -0.448 4.359 5.586
Cu -5.630 -0.481 5.939
Cu -5.183 -4.839 0.353
Cu 1.118 -8.111 0.403
Cu 5.853 1.087 5.636
Cu 8.322 -7.056 1.661
Cu 6.300 -3.272 0.050
Cu 4.323 -9.595 3.322
Cu 2.189 -3.329 10.292
Cu 3.206 -1.484 2.919
Cu 7.819 -2.849 4.353
Cu -6.479 -4.656 7.625
Cu -2.983 2.091 8.656
Cu -0.234 -8.080 4.782
Cu -6.982 -0.449 10.317
Cu 0.000 0.000 0.000
Cu 0.670 -3.752 5.989
Cu -0.849 -4.176 1.686
Cu 1.574 0.575 7.197
Ge -2.425 -1.965 8.858
Ge 4.501 1.118 10.015
Ge -7.718 -7.107 3.423
Ge 9.058 -0.398 8.555
Ge 5.004 -3.089 7.323
Ge -1.352 0.031 4.379
Ge 3.765 -5.540 3.121
Ge 0.269 -12.287 2.090
Ge 1.071 4.782 9.889
Ge 2.692 -7.536 7.600
Ge -3.161 -8.623 1.964
Ge -3.664 -4.416 4.656
```

Results
Calculated density = 6.230 g cm⁻³
E = -3.44 eV per atom
V = 2204 Å³/cell
Formation energy (no corrections) = 0.16 eV/atom
Crystal system = cubic
Spin magnetization = 0.0 μB per cell

***

A geometry-optimized VCuGePd structure, computed with GGA-PBE.

The structure in extended XYZ format:
```
4
Lattice="4.314 0.000 0.000 2.157 3.736 0.000 2.157 1.245 3.522" Properties=species:S:1:pos:R:3 pbc="T T T"
Pd 2.157 1.245 0.881
V 6.471 3.736 2.642
Ge 0.000 0.000 0.000
Cu 4.314 2.491 1.761
```

Results
Calculated formation energy = -153 meV per atom
Calculated density = 8.588 g cm⁻³
E = -5.91 eV per atom
V = 57 Å³/cell
Crystal system = cubic
Spin magnetization = 2.1 μB per cell

***

A geometry-optimized AcTmPt structure, computed with GGA-PBE.

The structure in extended XYZ format:
```
3
Lattice="-1.453 -5.631 2.641 -0.206 -1.764 -3.876 3.694 0.045 2.128" Properties=species:S:1:pos:R:3 pbc="T T T"
Tm 2.061 -1.848 0.731
Ac 0.013 -5.349 0.089
Pt -0.040 -0.154 0.072
```

Results
Calculated formation energy = -775 meV per atom
Calculated density = 9.761 g cm⁻³
E = -5.65 eV per atom
V = 101 Å³/cell
Crystal system = trigonal
Spin magnetization = 0.0 μB per cell

***

A geometry-optimized DyErLu2 structure, computed with GGA-PBE.

The structure in extended XYZ format:
```
4
Lattice="5.562 0.000 0.000 2.781 4.816 0.000 2.781 1.605 4.541" Properties=species:S:1:pos:R:3 pbc="T T T"
Dy 0.000 0.000 0.000
Er 5.562 3.211 2.270
Lu 8.342 4.816 3.406
Lu 2.781 1.605 1.135
```

Results
Calculated formation energy = 125 meV per atom
Calculated density = 9.279 g cm⁻³
E = -4.43 eV per atom
V = 122 Å³/cell
Crystal system = cubic
Spin magnetization = 0.1 μB per cell

***

A geometry-optimized BaLiCeO3 structure, computed with GGA-PBE.

The structure in extended XYZ format:
```
12
Lattice="3.627 0.000 0.000 -1.814 5.895 0.000 0.000 0.000 9.109" Properties=species:S:1:pos:R:3 pbc="T T T"
O 0.000 0.715 6.832
O 1.814 1.405 0.665
O 0.000 4.490 8.444
O 1.814 1.405 3.889
O 0.000 4.490 5.220
O 1.814 5.180 2.277
Ce 0.000 0.000 4.555
Ce 0.000 0.000 0.000
Li 0.000 5.539 6.832
Li 1.814 0.356 2.277
Ba 1.814 2.861 6.832
Ba 0.000 3.034 2.277
```

Results
Calculated density = 5.667 g cm⁻³
E = -6.77 eV per atom
V = 195 Å³/cell
Formation energy (no corrections) = -2.66 eV/atom
Crystal system = orthorhombic
Spin magnetization = 1.8 μB per cell

***

A geometry-optimized Nd3BeSi2 structure, computed with GGA-PBE.

The structure in extended XYZ format:
```
24
Lattice="4.111 0.000 0.000 0.000 11.840 0.000 0.000 0.000 11.733" Properties=species:S:1:pos:R:3 pbc="T T T"
Be 1.028 4.296 7.463
Be 1.028 1.623 1.596
Be 3.083 10.216 10.137
Be 3.083 7.543 4.270
Nd 3.083 3.466 9.411
Nd 1.028 0.702 10.359
Nd 1.028 4.536 0.788
Nd 3.083 11.138 1.374
Nd 3.083 2.454 3.545
Nd 1.028 1.384 6.654
Nd 1.028 8.374 2.322
Nd 1.028 9.385 8.189
Nd 3.083 10.455 5.079
Nd 3.083 7.304 10.946
Nd 1.028 5.218 4.493
Nd 3.083 6.621 7.241
Si 1.028 9.672 11.223
Si 1.028 8.087 5.356
Si 1.028 0.255 3.515
Si 3.083 11.584 8.218
Si 3.083 6.175 2.352
Si 3.083 2.168 0.511
Si 1.028 5.664 9.382
Si 3.083 3.752 6.377
```

Results
Calculated density = 5.792 g cm⁻³
E = -5.35 eV per atom
V = 571 Å³/cell
Formation energy (no corrections) = -0.53 eV/atom
Crystal system = orthorhombic
Spin magnetization = 2.0 μB per cell

***

A geometry-optimized ErTmS2O structure, computed with GGA-PBE.

The structure in extended XYZ format:
```
10
Lattice="3.816 0.000 0.000 0.000 3.816 0.000 0.000 0.000 13.742" Properties=species:S:1:pos:R:3 pbc="T T T"
O 1.908 1.908 6.871
O 0.000 0.000 6.871
Tm 0.000 1.908 12.022
Tm 1.908 0.000 1.719
S 1.908 0.000 4.188
S 0.000 1.908 1.229
S 1.908 0.000 12.512
S 0.000 1.908 9.553
Er 0.000 1.908 5.746
Er 1.908 0.000 7.996
```

Results
Calculated density = 6.908 g cm⁻³
E = -6.99 eV per atom
V = 200 Å³/cell
Formation energy (no corrections) = -2.54 eV/atom
Crystal system = tetragonal
Spin magnetization = 0.0 μB per cell

***

A geometry-optimized KMg2Se structure, computed with GGA-PBE.

The structure in extended XYZ format:
```
4
Lattice="-6.067 0.308 -1.721 -4.126 -4.075 2.497 4.523 3.925 1.998" Properties=species:S:1:pos:R:3 pbc="T T T"
K -3.320 1.175 0.333
Mg -5.096 -1.883 0.388
Mg 0.000 0.000 0.000
Se -2.349 -1.017 2.441
```

Results
Calculated density = 2.492 g cm⁻³
E = -2.15 eV per atom
V = 111 Å³/cell
Formation energy (no corrections) = -0.21 eV/atom
Crystal system = tetragonal
Spin magnetization = 0.0 μB per cell

***

A geometry-optimized RbAcSF2 structure, computed with GGA-PBE.

The structure in extended XYZ format:
```
5
Lattice="-1.032 -4.365 1.985 4.352 -1.705 -1.487 2.414 1.737 5.075" Properties=species:S:1:pos:R:3 pbc="T T T"
F 6.239 -2.159 4.557
F 4.579 0.876 4.307
Ac 0.001 0.001 0.002
Rb 2.890 -2.150 2.835
S 5.558 -0.837 1.048
```

Results
Calculated density = 4.489 g cm⁻³
E = -5.50 eV per atom
V = 142 Å³/cell
Formation energy (no corrections) = -2.91 eV/atom
Crystal system = tetragonal
Spin magnetization = 0.0 μB per cell

***

A geometry-optimized SrScRh2 structure, computed with GGA-PBE.

The structure in extended XYZ format:
```
4
Lattice="-2.257 2.033 -1.328 -2.376 -1.460 1.803 -1.224 3.304 7.138" Properties=species:S:1:pos:R:3 pbc="T T T"
Sr -3.828 2.400 6.041
Sc -2.028 1.478 1.571
Rh -1.853 0.710 4.236
Rh -2.323 -1.247 2.037
```

Results
Calculated formation energy = -548 meV per atom
Calculated density = 7.045 g cm⁻³
E = -6.23 eV per atom
V = 80 Å³/cell
Crystal system = monoclinic
Spin magnetization = 0.0 μB per cell

***

A geometry-optimized NiHgPb structure, computed with GGA-PBE.

The structure in extended XYZ format:
```
3
Lattice="-3.611 -2.533 -1.085 0.490 -4.456 -0.733 -1.659 -2.989 2.991" Properties=species:S:1:pos:R:3 pbc="T T T"
Ni -3.585 -7.484 0.880
Hg -2.390 -4.989 0.587
Pb 0.000 0.000 0.000
```

Results
Calculated formation energy = 148 meV per atom
Calculated density = 11.689 g cm⁻³
E = -3.12 eV per atom
V = 66 Å³/cell
Crystal system = cubic
Spin magnetization = 0.0 μB per cell

***

A geometry-optimized HgPt3 structure, computed with GGA-PBE.

The structure in extended XYZ format:
```
16
Lattice="-3.679 2.054 -2.654 2.420 -5.289 -7.447 -3.572 -4.119 1.765" Properties=species:S:1:pos:R:3 pbc="T T T"
Pt -0.849 -4.247 -9.219
Pt -3.765 -3.706 -4.556
Pt -5.886 -3.069 -2.730
Pt -3.983 -3.107 0.882
Pt -1.067 -3.647 -3.780
Pt -1.704 -4.317 -6.479
Pt 0.131 -6.265 -7.467
Pt -2.785 -5.725 -2.804
Pt -2.046 -1.629 -5.532
Pt -4.963 -1.088 -0.869
Pt -3.128 -3.037 -1.857
Pt 1.055 -4.285 -5.606
Hg -3.480 -6.421 -5.562
Hg -0.676 -6.336 -4.712
Hg -4.156 -1.018 -3.625
Hg -1.352 -0.933 -2.774
```

Results
Calculated formation energy = 47 meV per atom
Calculated density = 19.358 g cm⁻³
E = -4.56 eV per atom
V = 270 Å³/cell
Crystal system = orthorhombic
Spin magnetization = 0.0 μB per cell

***

A geometry-optimized Lu2ZrAu structure, computed with GGA-PBE.

The structure in extended XYZ format:
```
4
Lattice="-1.329 -0.468 -3.001 1.943 -0.034 -2.686 1.513 -10.811 -0.815" Properties=species:S:1:pos:R:3 pbc="T T T"
Zr 1.063 -5.657 -3.251
Au 0.000 0.000 0.000
Lu 1.170 -8.021 -1.098
Lu 0.957 -3.292 -5.404
```

Results
Calculated formation energy = 123 meV per atom
Calculated density = 10.329 g cm⁻³
E = -5.09 eV per atom
V = 103 Å³/cell
Crystal system = trigonal
Spin magnetization = 0.0 μB per cell

***

A geometry-optimized Li4Sc3PaSe8 structure, computed with GGA-PBE.

The structure in extended XYZ format:
```
16
Lattice="-6.714 -0.207 3.991 0.374 -7.886 0.220 6.003 4.229 2.671" Properties=species:S:1:pos:R:3 pbc="T T T"
Li -3.357 -0.104 1.995
Li 3.002 2.114 1.336
Li -0.355 2.011 3.331
Li 0.000 0.000 0.000
Se -1.772 -3.910 4.463
Se -1.968 -0.047 4.335
Se 1.287 -1.866 5.781
Se 4.546 -1.766 3.843
Se -4.882 -2.100 3.038
Se 1.632 -3.818 2.547
Se 1.436 0.045 2.418
Se -1.623 -1.999 1.101
Sc -3.170 -4.047 2.105
Sc -0.168 -1.933 3.441
Sc 3.189 -1.829 1.445
Pa 0.187 -3.943 0.110
```

Results
Calculated density = 4.966 g cm⁻³
E = -5.51 eV per atom
V = 343 Å³/cell
Formation energy (no corrections) = -1.50 eV/atom
Crystal system = trigonal
Spin magnetization = 1.8 μB per cell

***

A geometry-optimized Si2SeBr structure, computed with GGA-PBE.

The structure in extended XYZ format:
```
4
Lattice="6.928 0.013 0.000 4.847 4.950 0.000 -5.888 -2.482 2.679" Properties=species:S:1:pos:R:3 pbc="T T T"
Si 2.424 2.475 1.339
Si 0.000 0.000 0.000
Se 3.464 0.007 1.339
Br 5.888 2.482 0.000
```

Results
Calculated density = 3.894 g cm⁻³
E = -3.47 eV per atom
V = 92 Å³/cell
Formation energy (no corrections) = 0.53 eV/atom
Crystal system = tetragonal
Spin magnetization = 0.0 μB per cell

***

A geometry-optimized SrZnSi2 structure, computed with GGA-PBE.

The structure in extended XYZ format:
```
4
Lattice="-4.632 -0.782 -3.081 -4.117 -1.677 3.434 3.475 4.340 -0.802" Properties=species:S:1:pos:R:3 pbc="T T T"
Zn -2.198 0.804 1.392
Sr -4.569 -1.284 0.184
Si -8.396 -2.359 0.339
Si -3.234 1.033 -1.834
```

Results
Calculated density = 3.730 g cm⁻³
E = -3.40 eV per atom
V = 93 Å³/cell
Formation energy (no corrections) = 0.05 eV/atom
Crystal system = orthorhombic
Spin magnetization = 0.0 μB per cell

***

A geometry-optimized PmGa4CuPt2 structure, computed with GGA-PBE.

The structure in extended XYZ format:
```
8
Lattice="-1.947 -0.738 -3.755 0.090 -3.929 -1.729 -7.997 -3.585 2.396" Properties=species:S:1:pos:R:3 pbc="T T T"
Pm 0.000 0.000 0.000
Ga -7.148 -4.737 -0.273
Ga -4.785 -5.473 -3.808
Ga -2.705 -3.515 -2.816
Ga -5.068 -2.779 0.719
Pt -2.732 -2.137 -0.619
Pt -7.122 -6.115 -2.470
Cu -4.927 -4.126 -1.544
```

Results
Calculated formation energy = -604 meV per atom
Calculated density = 10.442 g cm⁻³
E = -4.73 eV per atom
V = 140 Å³/cell
Crystal system = trigonal
Spin magnetization = 0.0 μB per cell